Entry from OQMD via LeMat-Bulk: a relaxed K2Ta crystal (PBE).

The structure in POSCAR format:
```
K2Ta
1.0
7.649 0.000 0.000
-3.825 6.624 0.000
0.000 0.000 9.372
K Ta
8 4
direct
0.190 0.810 0.250 K
0.380 0.190 0.750 K
0.000 0.000 0.500 K
0.190 0.380 0.250 K
0.000 0.000 0.000 K
0.620 0.810 0.250 K
0.810 0.190 0.750 K
0.810 0.620 0.750 K
0.333 0.667 0.870 Ta
0.667 0.333 0.370 Ta
0.333 0.667 0.630 Ta
0.667 0.333 0.130 Ta
```

## Properties
Excess energy over the best structure of this formula in the dataset: 0 meV per atom


Entry from OQMD via LeMat-Bulk: a relaxed ZrBiOsAu crystal (PBE).

The structure in POSCAR format:
```
ZrBiOsAu
1.0
4.332 -0.792 -2.037
1.896 -4.466 -0.010
0.309 -2.495 -4.150
Au Zr Bi Os
1 1 1 1
direct
0.750 0.750 0.750 Au
0.000 0.000 0.000 Zr
0.500 0.500 0.500 Bi
0.250 0.250 0.250 Os
```

## Properties
Excess energy over the best structure of this formula in the dataset: 0 meV per atom


Entry from OQMD via LeMat-Bulk: a relaxed CsNb2O4 crystal (PBE).

The structure in POSCAR format:
```
CsNb2O4
1.0
4.795 -4.796 0.000
-4.795 0.000 -4.796
4.795 4.796 0.000
O Nb Cs
8 4 2
direct
0.155 0.311 0.466 O
0.595 0.189 0.405 O
0.595 0.811 0.405 O
0.216 0.811 0.405 O
0.155 0.311 0.845 O
0.534 0.689 0.845 O
0.155 0.689 0.845 O
0.595 0.189 0.784 O
0.875 0.250 0.625 Nb
0.375 0.750 0.625 Nb
0.375 0.750 0.125 Nb
0.375 0.250 0.625 Nb
0.750 0.500 0.250 Cs
0.000 0.000 0.000 Cs
```


Entry from OQMD via LeMat-Bulk: a relaxed AgI2 crystal (PBE).

The structure in POSCAR format:
```
AgI2
1.0
6.946 0.000 0.000
0.000 8.645 0.000
-1.845 0.000 6.857
I Ag
8 4
direct
0.502 0.886 0.747 I
0.498 0.386 0.753 I
0.502 0.614 0.247 I
0.999 0.362 0.242 I
0.001 0.638 0.758 I
0.498 0.114 0.253 I
0.001 0.862 0.258 I
0.999 0.138 0.742 I
0.751 0.628 0.002 Ag
0.249 0.372 0.998 Ag
0.249 0.128 0.498 Ag
0.751 0.872 0.502 Ag
```


Entry from OQMD via LeMat-Bulk: a relaxed TbTl3 crystal (PBE).

The structure in POSCAR format:
```
TbTl3
1.0
4.722 0.000 0.000
0.000 4.722 0.000
0.000 0.000 4.722
Tb Tl
1 3
direct
0.000 0.000 0.000 Tb
0.000 0.500 0.500 Tl
0.500 0.500 0.000 Tl
0.500 0.000 0.500 Tl
```


Entry from OQMD via LeMat-Bulk: a relaxed ZnCdGe2As4 crystal (PBE).

The structure in POSCAR format:
```
ZnCdGe2As4
1.0
-4.984 -4.449 -2.304
-6.254 3.125 1.033
5.847 2.380 -3.175
Ge As Zn Cd
2 4 1 1
direct
0.500 0.500 0.000 Ge
0.250 0.750 0.500 Ge
0.390 0.394 0.525 As
0.869 0.865 0.475 As
0.606 0.131 0.996 As
0.135 0.610 0.004 As
0.750 0.250 0.500 Zn
0.000 0.000 0.000 Cd
```


Entry from OQMD via LeMat-Bulk: a relaxed RbHf3Te6 crystal (PBE).

The structure in POSCAR format:
```
RbHf3Te6
1.0
4.039 0.000 0.000
-2.019 3.498 0.000
0.000 0.000 22.645
Hf Te Rb
3 6 1
direct
0.000 0.000 0.000 Hf
0.000 0.000 0.301 Hf
0.000 0.000 0.699 Hf
0.667 0.333 0.620 Te
0.667 0.333 0.226 Te
0.333 0.667 0.774 Te
0.333 0.667 0.380 Te
0.667 0.333 0.923 Te
0.333 0.667 0.077 Te
0.000 0.000 0.500 Rb
```


Entry from OQMD via LeMat-Bulk: a relaxed NdDySn2Ir4 crystal (PBE).

The structure in POSCAR format:
```
NdDySn2Ir4
1.0
4.528 0.000 0.000
-2.264 3.922 0.000
0.000 0.000 9.144
Ir Dy Sn Nd
4 1 2 1
direct
0.000 0.000 0.659 Ir
0.333 0.667 0.148 Ir
0.333 0.667 0.852 Ir
0.000 0.000 0.341 Ir
0.000 0.000 0.000 Dy
0.667 0.333 0.246 Sn
0.667 0.333 0.754 Sn
0.333 0.667 0.500 Nd
```


Entry from OQMD via LeMat-Bulk: a relaxed Sm2DyCu4Pb4 crystal (PBE).

The structure in POSCAR format:
```
Sm2DyCu4Pb4
1.0
-2.319 3.524 7.593
2.319 -3.524 7.593
2.319 3.524 -7.593
Pb Cu Sm Dy
4 4 2 1
direct
0.785 0.785 0.000 Pb
0.215 0.215 0.000 Pb
0.289 0.500 0.789 Pb
0.711 0.500 0.211 Pb
0.016 0.330 0.685 Cu
0.355 0.670 0.685 Cu
0.645 0.330 0.315 Cu
0.984 0.670 0.315 Cu
0.632 0.132 0.500 Sm
0.368 0.868 0.500 Sm
0.000 0.000 0.000 Dy
```


Entry from OQMD via LeMat-Bulk: a relaxed FeSnHgTe3 crystal (PBE).

The structure in POSCAR format:
```
FeSnHgTe3
1.0
4.082 0.000 0.000
2.041 7.447 0.000
0.000 0.000 11.747
Sn Te Hg Fe
2 6 2 2
direct
0.752 0.497 0.750 Sn
0.248 0.503 0.250 Sn
0.946 0.107 0.250 Te
0.664 0.672 0.417 Te
0.664 0.672 0.083 Te
0.054 0.893 0.750 Te
0.336 0.328 0.583 Te
0.336 0.328 0.917 Te
0.000 0.000 0.000 Hg
0.000 0.000 0.500 Hg
0.555 0.890 0.250 Fe
0.445 0.110 0.750 Fe
```

## Properties
Excess energy over the best structure of this formula in the dataset: 101 meV per atom


Entry from OQMD via LeMat-Bulk: a relaxed NaGeBiOs crystal (PBE).

The structure in POSCAR format:
```
NaGeBiOs
1.0
1.540 1.633 4.318
0.085 4.781 0.904
-3.172 1.939 3.140
Bi Os Ge Na
1 1 1 1
direct
0.250 0.250 0.250 Bi
0.000 0.000 0.000 Os
0.500 0.500 0.500 Ge
0.750 0.750 0.750 Na
```

## Properties
Excess energy over the best structure of this formula in the dataset: 411 meV per atom


Entry from OQMD via LeMat-Bulk: a relaxed BaLuCuTeS2 crystal (PBE).

The structure in POSCAR format:
```
BaLuCuTeS2
1.0
2.031 -7.327 0.000
2.031 7.327 0.000
0.000 0.000 10.827
S Ba Lu Te Cu
4 2 2 2 2
direct
0.387 0.613 0.571 S
0.613 0.387 0.071 S
0.613 0.387 0.429 S
0.387 0.613 0.929 S
0.781 0.219 0.750 Ba
0.219 0.781 0.250 Ba
0.000 0.000 0.000 Lu
0.000 0.000 0.500 Lu
0.909 0.091 0.250 Te
0.091 0.909 0.750 Te
0.524 0.476 0.250 Cu
0.476 0.524 0.750 Cu
```


Entry from OQMD via LeMat-Bulk: a relaxed ThMg crystal (PBE).

The structure in POSCAR format:
```
ThMg
1.0
-4.355 0.556 0.998
-2.943 1.011 -3.253
-3.022 -3.060 -1.331
Mg Th
1 1
direct
0.000 0.000 0.000 Mg
0.500 0.500 0.500 Th
```


Entry from OQMD via LeMat-Bulk: a relaxed Sr2NbNO3 crystal (PBE).

The structure in POSCAR format:
```
Sr2NbNO3
1.0
-3.888 0.390 5.656
-0.725 -4.460 5.180
4.321 2.544 2.795
Sr Nb N O
4 2 2 6
direct
0.128 0.584 0.250 Sr
0.872 0.416 0.750 Sr
0.416 0.872 0.250 Sr
0.584 0.128 0.750 Sr
0.768 0.232 0.250 Nb
0.232 0.768 0.750 Nb
0.000 0.000 0.500 N
0.000 0.000 0.000 N
0.440 0.887 0.750 O
0.113 0.560 0.750 O
0.500 0.500 0.500 O
0.887 0.440 0.250 O
0.560 0.113 0.250 O
0.500 0.500 0.000 O
```


Entry from OQMD via LeMat-Bulk: a relaxed Si2SnAu2 crystal (PBE).

The structure in POSCAR format:
```
Si2SnAu2
1.0
4.521 3.885 0.705
-1.336 5.826 0.551
-1.783 -5.189 2.434
Au Si Sn
2 2 1
direct
0.750 0.250 0.500 Au
0.250 0.750 0.500 Au
0.615 0.615 0.000 Si
0.385 0.385 0.000 Si
0.000 0.000 0.000 Sn
```


Entry from OQMD via LeMat-Bulk: a relaxed LaPrSe2F2 crystal (PBE).

The structure in POSCAR format:
```
LaPrSe2F2
1.0
-3.681 -0.727 -1.552
0.767 -3.986 0.046
-2.716 -0.446 6.651
Se Pr F La
2 1 2 1
direct
0.500 0.500 0.358 Se
0.000 0.000 0.645 Se
0.500 0.500 0.780 Pr
0.500 0.000 0.999 F
0.000 0.500 0.999 F
0.000 0.000 0.219 La
```


Entry from OQMD via LeMat-Bulk: a relaxed Co6SiGe crystal (PBE).

The structure in POSCAR format:
```
Co6SiGe
1.0
-0.046 2.472 -3.120
1.760 -2.786 -2.233
-5.055 -1.990 -1.501
Co Si Ge
6 1 1
direct
0.000 0.500 0.256 Co
0.500 0.500 0.000 Co
0.500 0.000 0.744 Co
0.500 0.000 0.256 Co
0.000 0.500 0.744 Co
0.000 0.000 0.500 Co
0.500 0.500 0.500 Si
0.000 0.000 0.000 Ge
```


Entry from OQMD via LeMat-Bulk: a relaxed NaDyCd crystal (PBE).

The structure in POSCAR format:
```
NaDyCd
1.0
-2.786 0.144 4.218
-4.991 -0.778 -0.239
-1.987 -4.260 1.864
Cd Dy Na
1 1 1
direct
0.000 0.000 0.000 Cd
0.250 0.250 0.250 Dy
0.750 0.750 0.750 Na
```


Entry from OQMD via LeMat-Bulk: a relaxed Ho4TePbC2 crystal (PBE).

The structure in POSCAR format:
```
Ho4TePbC2
1.0
3.704 0.000 0.000
-1.852 3.207 0.000
0.000 0.000 15.047
Ho C Pb Te
4 2 1 1
direct
0.333 0.667 0.151 Ho
0.000 0.000 0.675 Ho
0.333 0.667 0.849 Ho
0.000 0.000 0.325 Ho
0.667 0.333 0.238 C
0.667 0.333 0.762 C
0.333 0.667 0.500 Pb
0.000 0.000 0.000 Te
```


Entry from OQMD via LeMat-Bulk: a relaxed Nd3Al3Cu2Ni crystal (PBE).

The structure in POSCAR format:
```
Nd3Al3Cu2Ni
1.0
7.129 0.000 0.000
-3.564 6.174 0.000
0.000 0.000 4.139
Cu Nd Ni Al
2 3 1 3
direct
0.667 0.333 0.500 Cu
0.333 0.667 0.500 Cu
0.588 0.588 0.000 Nd
0.412 0.000 0.000 Nd
0.000 0.412 0.000 Nd
0.000 0.000 0.000 Ni
0.000 0.776 0.500 Al
0.776 0.000 0.500 Al
0.224 0.224 0.500 Al
```


Asked for energy across the records above, the calculation gives -3.24, -6.61, -7.62, -2.04, -3.16, -3.88, -5.81, -7.11, -4.27, -3.62, -4.50, -5.08, -3.76, -7.62, -4.19, -6.34, -6.74, -2.04, -6.13, -4.71 eV/atom in order.